(1)
Below is crystalline Li2InAs at its relaxed geometry, with properties calculated at the PBE level.

```
4
Lattice="-6.305 4.752 4.289 -7.499 4.769 1.321 -8.057 2.283 3.256" Properties=species:S:1:pos:R:3 pbc="T T T"
Li -21.614 11.670 8.765
Li -11.178 6.035 4.533
In -16.396 8.852 6.649
As -5.465 2.951 2.216
```

Properties
Spin magnetization ... 0.0 μB/f.u.
VASP energy ... -3.0545 eV per atom
Formation energy ... -0.251 eV per atom

=====

(2)
Below is crystalline ZrAg3 at its relaxed geometry, with properties calculated at the PBE level.

```
4
Lattice="-2.620 5.840 0.944 -0.445 -0.969 4.761 5.443 -6.273 -0.768" Properties=species:S:1:pos:R:3 pbc="T T T"
Ag -2.187 3.896 3.089
Ag 0.320 -0.064 0.017
Ag 3.814 -3.289 -0.313
Zr -0.877 0.975 2.617
```

Properties
Spin magnetization ... 0.0 μB/f.u.
VASP energy ... -4.2192 eV per atom
Formation energy ... 0.056 eV per atom